[1]
Density functional theory data (GGA-PBE) for a relaxed structure of SrPmCu2O5.

The structure belongs to space group P4/mmm (No. 123); the cell edges are 3.880, 3.880 and 7.570 Å and the angles 90.00°, 90.00° and 90.00°. Symmetry generates all atoms from Sr at (0.000, 0.000, 0.000), Pm at (0.000, 0.000, 0.500), Cu at (0.500, 0.500, 0.261), O at (0.000, 0.500, 0.301) and O at (0.500, 0.500, 0.000).

The calculation puts the uncorrected formation energy at -1.8350 eV per atom.

=====

[2]
Density functional theory data (GGA-PBE) for a relaxed structure of SrPmCuO3.

The structure belongs to space group Cmcm (No. 63); the cell edges are 3.523, 11.384 and 9.139 Å and the angles 90.00°, 90.00° and 90.00°. Symmetry generates all atoms from Sr at (0.000, 0.247, 0.250), Pm at (0.000, 0.500, 0.000), Cu at (0.000, 0.023, 0.750), O at (0.000, 0.130, 0.576) and O at (0.000, 0.415, 0.750).

The calculation puts the uncorrected formation energy at -2.2864 eV per atom.

=====

VASP energy for the records above, in order: -6.215, -6.520 eV per atom